Compound: Dy3TeIr
Source: the Alexandria database
Functional: GGA-PBE
Structure: optimized geometry

```
Dy3TeIr
1.0
7.578 0.000 0.000
0.000 4.285 0.000
0.000 0.000 16.703
Dy Te Ir
12 4 4
Direct
0.016 0.250 0.090 Dy
0.135 0.750 0.447 Dy
0.179 0.250 0.706 Dy
0.321 0.750 0.206 Dy
0.365 0.250 0.947 Dy
0.484 0.750 0.590 Dy
0.516 0.250 0.410 Dy
0.635 0.750 0.053 Dy
0.679 0.250 0.794 Dy
0.821 0.750 0.294 Dy
0.865 0.250 0.553 Dy
0.984 0.750 0.910 Dy
0.122 0.250 0.299 Te
0.378 0.750 0.799 Te
0.622 0.250 0.201 Te
0.878 0.750 0.701 Te
0.242 0.750 0.042 Ir
0.258 0.250 0.542 Ir
0.742 0.750 0.458 Ir
0.758 0.250 0.958 Ir
```

Properties
The calculation puts the density at 9.89 g/cm3. For the total DFT energy (no corrections), the calculation gives -122.31 eV per cell. The calculation puts the volume at 542 Å³/cell. As for the uncorrected formation energy: -92.0 kJ per mole of atoms. For the density of states at the Fermi level, the calculation gives 0.555 states/eV per atom. As for the space-group type: Pnma (62).